Entry 1:
DFT (SCAN) results for a PBEsol-optimized structure of RuRhAu.

```
3
Lattice="2.6898 -0.0035 0.0000 -1.3171 2.3453 0.0000 -0.6864 -1.1709 7.0846" Properties=species:S:1:pos:R:3 pbc="T T T"
Au 0.0000 0.0000 0.0025
Rh 0.6864 1.1709 2.4583
Ru 0.0000 0.0000 4.6239
```

Computed properties:
N(E_F) (states/eV/f.u.): 3.2
E_form (eV/f.u.): 1.1
Energy (eV per cell): -136.64

=====

Entry 2:
DFT (SCAN) results for a PBEsol-optimized structure of CaFe2Ir.

```
4
Lattice="3.2438 0.0000 0.0000 0.0000 3.2438 0.0000 0.0000 0.0000 6.3624" Properties=species:S:1:pos:R:3 pbc="T T T"
Ca 1.6219 1.6219 3.1812
Ir 1.6219 1.6219 0.0000
Fe 0.0000 0.0000 5.2663
Fe 0.0000 0.0000 1.0961
```

Computed properties:
N(E_F) (states/eV/f.u.): 3.7
E_form (eV/f.u.): 0.9
Energy (eV per cell): -116.17

=====

Entry 3:
DFT (SCAN) results for a PBEsol-optimized structure of KCaAg2F.

```
5
Lattice="-0.4390 4.6491 2.5370 -4.6778 -1.5342 2.0020 3.3128 -2.7578 5.6270" Properties=species:S:1:pos:R:3 pbc="T T T"
Ca 1.6564 -1.3789 2.8135
K 0.0000 0.0000 0.0000
Ag -2.3389 -0.7671 1.0010
Ag -0.2195 2.3246 1.2685
F -0.9020 0.1785 5.0830
```

Computed properties:
N(E_F) (states/eV/f.u.): 2.3
Formation energy (no corrections) (eV per atom): 0.568
Energy (eV per cell): -81.43

=====

Entry 4:
DFT (SCAN) results for a PBEsol-optimized structure of TiNbTe2O.

```
5
Lattice="-1.9648 3.2827 -0.1723 -3.7629 -2.3748 -2.3361 -2.1093 -1.0293 4.4438" Properties=species:S:1:pos:R:3 pbc="T T T"
Nb -0.9824 1.6413 -0.0861
Te -1.0547 -0.5146 2.2219
Te -1.8814 -1.1874 -1.1681
O 0.0000 0.0000 0.0000
Ti -3.9185 -0.0607 0.9677
```

Computed properties:
N(E_F) (states/eV/f.u.): 4.4
Formation energy (no corrections) (eV per atom): -0.213
Energy (eV per cell): -130.96

=====

Entry 5:
DFT (SCAN) results for a PBEsol-optimized structure of Hg3Au.

```
8
Lattice="-1.4592 1.9328 -2.9454 2.7236 -3.4563 -3.6175 -7.8677 -3.3110 1.7250" Properties=species:S:1:pos:R:3 pbc="T T T"
Au -1.2163 -2.9593 -2.5735
Au -5.3870 -1.8752 -2.2642
Hg 0.0476 -1.8622 -4.9481
Hg -3.6062 -3.2789 -4.0676
Hg -5.2677 -4.7277 -1.7270
Hg -1.3357 -0.1067 -3.1108
Hg -2.9971 -1.5556 -0.7702
Hg -6.6510 -2.9723 0.1103
```

Computed properties:
N(E_F) (states/eV/f.u.): 1.3
E_form (eV/f.u.): 0.2
Relative energy among the computed polymorphs (eV per formula unit): 0.093
Energy (eV per cell): -546.85

=====

Entry 6:
DFT (SCAN) results for a PBEsol-optimized structure of TlSiPb2.

```
4
Lattice="3.5265 0.0000 0.0211 0.0000 3.7462 0.0000 -0.0463 0.0000 7.9187" Properties=species:S:1:pos:R:3 pbc="T T T"
Pb 3.4896 0.0000 6.3032
Pb -0.0094 0.0000 1.6365
Si 1.7632 1.8731 0.0105
Tl 1.7401 1.8731 3.9699
```

Computed properties:
N(E_F) (states/eV/f.u.): 1.6
Formation energy (no corrections) (eV per atom): 0.302
Energy (eV per cell): -232.73

=====

Entry 7:
DFT (SCAN) results for a PBEsol-optimized structure of KLiYF5.

```
64
Lattice="6.2749 0.0287 0.0000 -2.5114 5.8314 0.0000 0.0000 0.0000 23.6409" Properties=species:S:1:pos:R:3 pbc="T T T"
F 3.7671 5.1609 2.6480
F 3.1338 0.7135 14.4685
F -0.0036 0.6991 20.9929
F 0.6297 5.1466 9.1724
F 3.3508 2.8757 5.2413
F 3.5501 2.9988 17.0617
F 0.4126 2.9844 18.3996
F 0.2134 2.8613 6.5792
F -1.0510 3.1667 3.2499
F 1.6770 2.6790 15.0704
F 4.8145 2.6934 20.3910
F 2.0864 3.1810 8.5705
F 3.5239 2.7517 0.8851
F 3.3770 3.1227 12.7055
F 0.2396 3.1084 22.7558
F 0.3864 2.7374 10.9354
F 1.2140 3.9751 1.7226
F -0.5880 1.8706 13.5430
F 2.5494 1.8850 21.9183
F 4.3515 3.9894 10.0979
F 1.4082 1.5349 3.1189
F -0.7822 4.3109 14.9394
F 2.3552 4.3252 20.5220
F 4.5457 1.5492 8.7015
F 3.8181 0.9813 2.9054
F 3.0828 4.8931 14.7258
F -0.0546 4.8788 20.7355
F 0.6807 0.9669 8.9151
F -0.5326 5.7343 0.7548
F 1.1586 0.1115 12.5753
F 4.2960 0.1258 22.8861
F 2.6049 5.7486 11.0656
F -0.9345 5.3699 5.0448
F 1.5605 0.4759 16.8653
F 4.6980 0.4902 18.5961
F 2.2029 5.3842 6.7756
F 1.4732 4.3622 4.1952
F 5.4277 1.5123 16.0157
F 2.2902 1.4979 19.4457
F -1.6642 4.3478 7.6252
K 5.6373 0.9620 4.7588
K 1.2636 4.9124 16.5792
K -1.8738 4.8980 18.8821
K 2.4998 0.9477 7.0617
K -0.3702 1.5049 1.1644
K 0.9962 4.3408 12.9849
K 4.1336 4.3552 22.4765
K 2.7673 1.5192 10.6560
Li -1.3900 3.8049 5.8896
Li 2.0160 2.0409 17.7100
Li 5.1535 2.0552 17.7513
Li 1.7474 3.8192 5.9309
Li 2.9192 1.3045 23.6018
Li 3.9817 4.5699 11.7814
Li 0.8443 4.5556 0.0391
Li -0.2183 1.2901 11.8596
Y 2.9560 3.1205 2.9799
Y 3.9449 2.7540 14.8004
Y 0.8075 2.7396 20.6610
Y -0.1815 3.1061 8.8405
Y -0.2470 5.2332 2.9752
Y 0.8730 0.6126 14.7957
Y 4.0105 0.6269 20.6657
Y 2.8904 5.2475 8.8452
```

Computed properties:
N(E_F) (states/eV/f.u.): 0.0
Formation energy (no corrections) (eV per atom): -3.789
Energy (eV per cell): -692.60

=====

Entry 8:
DFT (SCAN) results for a PBEsol-optimized structure of Sc3BiSb.

```
5
Lattice="-0.5490 -0.5610 -5.2029 -2.8506 -4.3551 0.7704 -4.3885 2.8991 0.1505" Properties=species:S:1:pos:R:3 pbc="T T T"
Sc -1.4253 -2.1775 0.3852
Sc -2.1942 1.4496 0.0752
Sc -0.2745 -0.2805 -2.6015
Sb 0.0000 0.0000 0.0000
Bi -3.8941 -1.0085 -2.1410
```

Computed properties:
N(E_F) (states/eV/f.u.): 6.3
Formation energy (no corrections) (eV per atom): -0.107
Energy (eV per cell): -159.09